1.
Na2MnGa2O6 | PBE+U | optimized geometry

Results
Crystal system ... monoclinic
E_tot ... -129.75 eV per cell
DOS(E_F) ... 0.00 states/eV per cell

```
data_Na2MnGa2O6
_cell_length_a 5.164
_cell_length_b 8.860
_cell_length_c 5.795
_cell_angle_alpha 90.00
_cell_angle_beta 107.35
_cell_angle_gamma 90.00
_symmetry_space_group_name_H-M 'C 1 2/m 1'
_symmetry_Int_Tables_number 12
_symmetry_space_group_name_Hall '-C 2y'
loop_
_atom_site_label
_atom_site_type_symbol
_atom_site_fract_x
_atom_site_fract_y
_atom_site_fract_z
Na1 Na 0.000 0.168 0.000
Mn1 Mn 0.000 0.000 0.500
Ga1 Ga 0.000 0.335 0.500
O1 O 0.222 0.164 0.689
O2 O 0.242 0.500 0.686
```


2.
Na3MnGa2O6 | PBE+U | optimized geometry

Results
Crystal system ... monoclinic
E_tot ... -134.53 eV per cell
DOS(E_F) ... 0.00 states/eV per cell

```
data_Na3MnGa2O6
_cell_length_a 5.205
_cell_length_b 9.083
_cell_length_c 5.656
_cell_angle_alpha 90.00
_cell_angle_beta 107.95
_cell_angle_gamma 90.00
_symmetry_space_group_name_H-M 'C 1 2/m 1'
_symmetry_Int_Tables_number 12
_symmetry_space_group_name_Hall '-C 2y'
loop_
_atom_site_label
_atom_site_type_symbol
_atom_site_fract_x
_atom_site_fract_y
_atom_site_fract_z
Na1 Na 0.000 0.000 0.000
Na2 Na 0.000 0.333 0.000
Mn1 Mn 0.000 0.500 0.500
Ga1 Ga 0.000 0.167 0.500
O1 O 0.231 0.334 0.698
O2 O 0.237 0.000 0.697
```


3.
Na3MnGa3O8 | PBE+U | optimized geometry

Results
Crystal system ... trigonal
E_tot ... -259.49 eV per cell
DOS(E_F) ... 0.00 states/eV per cell

```
data_Na3MnGa3O8
_cell_length_a 5.9658
_cell_length_b 5.9658
_cell_length_c 16.4850
_cell_angle_alpha 90.00
_cell_angle_beta 90.00
_cell_angle_gamma 120.00
_symmetry_space_group_name_H-M 'R -3 m'
_symmetry_Int_Tables_number 166
_symmetry_space_group_name_Hall '-R 3 2"'
loop_
_atom_site_label
_atom_site_type_symbol
_atom_site_fract_x
_atom_site_fract_y
_atom_site_fract_z
Na1 Na 0.0000 0.5000 0.0000
Mn1 Mn 0.0000 0.0000 0.5000
Ga1 Ga 0.0000 0.5000 0.5000
O1 O 0.0000 0.0000 0.2311
O2 O 0.0126 0.5063 0.2299
```


Q: What is the formula in the third record?
A: Na3MnGa3O8


Q: Look up the E_tot of the first one.
A: -129.75 eV per cell


Copy entry 2 word for word.
Na3MnGa2O6 | PBE+U | optimized geometry

Results
Crystal system ... monoclinic
E_tot ... -134.53 eV per cell
DOS(E_F) ... 0.00 states/eV per cell

```
data_Na3MnGa2O6
_cell_length_a 5.205
_cell_length_b 9.083
_cell_length_c 5.656
_cell_angle_alpha 90.00
_cell_angle_beta 107.95
_cell_angle_gamma 90.00
_symmetry_space_group_name_H-M 'C 1 2/m 1'
_symmetry_Int_Tables_number 12
_symmetry_space_group_name_Hall '-C 2y'
loop_
_atom_site_label
_atom_site_type_symbol
_atom_site_fract_x
_atom_site_fract_y
_atom_site_fract_z
Na1 Na 0.000 0.000 0.000
Na2 Na 0.000 0.333 0.000
Mn1 Mn 0.000 0.500 0.500
Ga1 Ga 0.000 0.167 0.500
O1 O 0.231 0.334 0.698
O2 O 0.237 0.000 0.697
```


Please write out number 2 again, unchanged.
Na3MnGa2O6 | PBE+U | optimized geometry

Results
Crystal system ... monoclinic
E_tot ... -134.53 eV per cell
DOS(E_F) ... 0.00 states/eV per cell

```
data_Na3MnGa2O6
_cell_length_a 5.205
_cell_length_b 9.083
_cell_length_c 5.656
_cell_angle_alpha 90.00
_cell_angle_beta 107.95
_cell_angle_gamma 90.00
_symmetry_space_group_name_H-M 'C 1 2/m 1'
_symmetry_Int_Tables_number 12
_symmetry_space_group_name_Hall '-C 2y'
loop_
_atom_site_label
_atom_site_type_symbol
_atom_site_fract_x
_atom_site_fract_y
_atom_site_fract_z
Na1 Na 0.000 0.000 0.000
Na2 Na 0.000 0.333 0.000
Mn1 Mn 0.000 0.500 0.500
Ga1 Ga 0.000 0.167 0.500
O1 O 0.231 0.334 0.698
O2 O 0.237 0.000 0.697
```